# 1
Density functional theory data (PBE) for a relaxed structure of MnRe.

abc: 2.6825 2.6825 12.7934
angles: 90.00 90.00 120.00
Space group R-3m (No. 166, hexagonal axes)
Unique sites:
Mn  0.0000  0.0000  0.0000 [3 per cell]
Re  0.0000  0.0000  0.5000 [3 per cell]

## Properties
ΔE_f: 0.148 eV per atom
Electronic total energy: -10.6608 eV/atom
M_tot: 0.7 μB per formula unit

# 2
Density functional theory data (PBE) for a relaxed structure of Ta2TlAg.

abc: 6.795 6.795 6.795
angles: 90.00 90.00 90.00
Space group F-43m (No. 216)
Unique sites:
Ta  0.000  0.000  0.000 [4 per cell]
Ta  0.250  0.250  0.250 [4 per cell]
Tl  0.250  0.250  0.750 [4 per cell]
Ag  0.000  0.000  0.500 [4 per cell]

## Properties
ΔE_f: 0.731 eV per atom
Electronic total energy: -6.4998 eV/atom
M_tot: 0.0 μB per formula unit

# 3
Density functional theory data (PBE) for a relaxed structure of Y2TlCd.

abc: 3.5850 3.5850 31.5195
angles: 90.00 90.00 120.00
Space group R3m (No. 160, hexagonal axes)
Unique sites:
Y  0.0000  0.0000  0.0000 [3 per cell]
Y  0.0000  0.0000  0.2430 [3 per cell]
Tl  0.0000  0.0000  0.4917 [3 per cell]
Cd  0.0000  0.0000  0.7479 [3 per cell]

## Properties
ΔE_f: -0.081 eV per atom
Electronic total energy: -4.1338 eV/atom
M_tot: 0.8 μB per formula unit

# 4
Density functional theory data (PBE) for a relaxed structure of LaSmHoPu.

abc: 8.037 8.037 8.037
angles: 90.00 90.00 90.00
Space group F-43m (No. 216)
Unique sites:
La  0.000  0.000  0.000 [4 per cell]
Sm  0.000  0.000  0.500 [4 per cell]
Ho  0.250  0.250  0.750 [4 per cell]
Pu  0.250  0.250  0.250 [4 per cell]

## Properties
ΔE_f: 0.206 eV per atom
Electronic total energy: -6.9332 eV/atom
M_tot: 7.6 μB per formula unit

# 5
Density functional theory data (PBE) for a relaxed structure of TaSb2Cl.

abc: 4.571 4.571 8.351
angles: 90.00 90.00 90.00
Space group I4/mmm (No. 139)
Unique sites:
Ta  0.000  0.000  0.000 [2 per cell]
Sb  0.000  0.500  0.250 [4 per cell]
Cl  0.000  0.000  0.500 [2 per cell]

## Properties
Electronic total energy: -5.1281 eV/atom
M_tot: 0.5 μB per formula unit
Raw formation energy: 357.9 meV per atom
Energy above the lowest structure with this stoichiometry: 528.0 meV/atom

# 6
Density functional theory data (PBE) for a relaxed structure of Y2AlReC.

abc: 4.935 4.935 3.997
angles: 90.00 90.00 90.00
Space group P4/mmm (No. 123)
Unique sites:
Y  0.000  0.500  0.000 [2 per cell]
Al  0.000  0.000  0.500 [1 per cell]
Re  0.500  0.500  0.500 [1 per cell]
C  0.500  0.500  0.000 [1 per cell]

## Properties
ΔE_f: -0.318 eV per atom
Electronic total energy: -7.9866 eV/atom
M_tot: 0.0 μB per formula unit

# 7
Density functional theory data (PBE) for a relaxed structure of TlNi3S3.

abc: 6.2840 6.2840 23.5545
angles: 90.00 90.00 120.00
Space group R-3 (No. 148, hexagonal axes)
Unique sites:
Tl  0.0000  0.0000  0.1665 [6 per cell]
Ni  0.9995  0.3321  0.3009 [18 per cell]
S  0.0011  0.6659  0.2695 [18 per cell]

## Properties
Electronic total energy: -4.9400 eV/atom
M_tot: 0.0 μB per formula unit
Raw formation energy: -355.3 meV per atom
Energy above the lowest structure with this stoichiometry: 0.0 meV/atom

# 8
Density functional theory data (PBE) for a relaxed structure of ZnInFe2.

abc: 2.779 4.311 4.988
angles: 90.00 91.95 90.00
Space group Pm (No. 6)
Unique sites:
Zn  0.000  0.000  0.000 [1 per cell]
In  0.025  0.500  0.655 [1 per cell]
Fe  0.490  0.000  0.434 [1 per cell]
Fe  0.544  0.500  0.168 [1 per cell]

## Properties
ΔE_f: 0.179 eV per atom
Electronic total energy: -5.0558 eV/atom
M_tot: 4.8 μB per formula unit